A plane-wave DFT calculation with PBE was carried out for crystalline CsNaSb2 at its relaxed geometry.

Computed properties:
Polymorph energy (0 for the lowest one): 0 meV/atom
VASP energy: -2.96 eV/atom

a = 4.6440 Å, b = 10.3210 Å, c = 13.4053 Å
α = 90.00°, β = 90.00°, γ = 90.00°
Positions (direct):
Cs (0.7500, 0.9022, 0.1226)
Cs (0.2500, 0.0978, 0.8774)
Cs (0.7500, 0.4022, 0.3774)
Cs (0.2500, 0.5978, 0.6226)
Na (0.2500, 0.5163, 0.1236)
Na (0.2500, 0.0163, 0.3764)
Na (0.7500, 0.4837, 0.8764)
Na (0.7500, 0.9837, 0.6236)
Sb (0.7500, 0.7883, 0.8157)
Sb (0.2500, 0.2117, 0.1843)
Sb (0.7500, 0.2883, 0.6843)
Sb (0.2500, 0.7117, 0.3157)
Sb (0.7500, 0.7921, 0.4308)
Sb (0.2500, 0.7079, 0.9308)
Sb (0.7500, 0.2921, 0.0692)
Sb (0.2500, 0.2079, 0.5692)

***

A plane-wave DFT calculation with PBE was carried out for crystalline CsNa3Sb at its relaxed geometry.

Computed properties:
Polymorph energy (0 for the lowest one): 894 meV/atom
VASP energy: -1.13 eV/atom

a = 6.1019 Å, b = 6.1019 Å, c = 6.1019 Å
α = 90.00°, β = 90.00°, γ = 90.00°
Positions (direct):
Cs (0.0000, 0.0000, 0.0000)
Sb (0.5000, 0.5000, 0.5000)
Na (0.0000, 0.5000, 0.0000)
Na (0.0000, 0.0000, 0.5000)
Na (0.5000, 0.0000, 0.0000)

***

A plane-wave DFT calculation with PBE was carried out for crystalline CsNa2Sb at its relaxed geometry.

Computed properties:
VASP energy: -2.30 eV/atom

a = 5.4475 Å, b = 5.4475 Å, c = 7.5485 Å
α = 68.85°, β = 68.85°, γ = 60.00°
Positions (direct):
Cs (0.4884, 0.4884, 0.5347)
Na (0.0166, 0.0166, 0.9501)
Na (0.3105, 0.3105, 0.0685)
Sb (0.6845, 0.6845, 0.9466)

***

A plane-wave DFT calculation with PBE was carried out for crystalline Cs3NaSb at its relaxed geometry.

Computed properties:
Polymorph energy (0 for the lowest one): 0 meV/atom
VASP energy: -1.78 eV/atom

a = 9.4569 Å, b = 9.4569 Å, c = 9.4569 Å
α = 82.48°, β = 122.67°, γ = 126.23°
Positions (direct):
Cs (0.0349, 0.2660, 0.7338)
Cs (0.0349, 0.8011, 0.2689)
Cs (0.5322, 0.7660, 0.7311)
Cs (0.1183, 0.2813, 0.3370)
Cs (0.5322, 0.3011, 0.2662)
Cs (0.9444, 0.7813, 0.6630)
Na (0.5305, 0.0301, 0.0004)
Na (0.0296, 0.5301, 0.9996)
Sb (0.5249, 0.7798, 0.2452)
Sb (0.5346, 0.2798, 0.7548)

***

A plane-wave DFT calculation with PBE was carried out for crystalline CsNa2Sb at its relaxed geometry.

Computed properties:
VASP energy: -2.13 eV/atom

a = 6.3910 Å, b = 6.3910 Å, c = 10.9756 Å
α = 73.07°, β = 73.07°, γ = 90.00°
Positions (direct):
Cs (0.0000, 0.0000, 0.0000)
Cs (0.7500, 0.2500, 0.5000)
Sb (0.5000, 0.5000, 0.0000)
Sb (0.2500, 0.7500, 0.5000)
Na (0.3913, 0.1250, 0.2500)
Na (0.3587, 0.6250, 0.2500)
Na (0.3750, 0.6087, 0.7500)
Na (0.8750, 0.6413, 0.7500)

***

A plane-wave DFT calculation with PBE was carried out for crystalline Cs2NaSb2 at its relaxed geometry.

Computed properties:
Polymorph energy (0 for the lowest one): 0 meV/atom
VASP energy: -2.62 eV/atom

a = 7.7355 Å, b = 7.1959 Å, c = 10.0038 Å
α = 98.11°, β = 90.00°, γ = 122.51°
Site moments in Bohr magnetons follow the coordinates.
Positions (direct):
Cs (0.5021, 0.2961, 0.1415)  0.02
Cs (0.2060, 0.7039, 0.3585)  0.02
Cs (0.4979, 0.7039, 0.8585)  0.02
Cs (0.7940, 0.2961, 0.6415)  0.02
Na (0.9375, 0.0000, 0.2500)  0.00
Na (0.0625, 0.0000, 0.7500)  0.00
Sb (0.6893, 0.7026, 0.4915)  0.14
Sb (0.9867, 0.2974, 0.0085)  0.14
Sb (0.3107, 0.2974, 0.5085)  0.14
Sb (0.0133, 0.7026, 0.9915)  0.14

***

Number 1: volume 40.2 A^3/atom, ΔE_f (raw) -35 kJ/mol of atoms. Number 2: volume 45.4 A^3/atom, ΔE_f (raw) 64 kJ/mol of atoms. Number 3: volume 44.1 A^3/atom, ΔE_f (raw) -38 kJ/mol of atoms. Number 4: volume 55.2 A^3/atom, ΔE_f (raw) -17 kJ/mol of atoms. Number 5: volume 51.1 A^3/atom, ΔE_f (raw) -22 kJ/mol of atoms. Number 6: volume 46.3 A^3/atom, ΔE_f (raw) -35 kJ/mol of atoms.